Density functional theory data (PBE-GGA) for crystalline DyHgSb at its relaxed geometry.

## Properties
excess energy over the best structure of this formula in the dataset	0.300	eV per atom
magnetic moment	0.0	μB/f.u.
total energy	-3.23	eV/atom

Cell lengths 5.1026, 5.1026, 5.1026 Å; angles 60.00, 60.00, 60.00 degrees
Element x y z (fractional)
Hg 0.7500 0.7500 0.7500
Sb 0.0000 0.0000 0.0000
Dy 0.2500 0.2500 0.2500